Below is LiMnPO4 after structural relaxation, with properties calculated at the PBE+U level.

```
LiMnPO4
1.0
5.107 0.000 0.000
0.000 6.066 0.000
0.000 0.000 11.577
P Li Mn O
4 4 4 16
Direct
0.503 0.734 0.414
0.503 0.766 0.914
0.003 0.234 0.086
0.003 0.266 0.586
0.007 0.714 0.061
0.007 0.786 0.561
0.507 0.214 0.439
0.507 0.286 0.939
0.011 0.465 0.332
0.511 0.965 0.168
0.011 0.035 0.832
0.511 0.535 0.668
0.200 0.781 0.919
0.108 0.481 0.645
0.118 0.260 0.963
0.583 0.558 0.842
0.618 0.740 0.037
0.608 0.519 0.355
0.700 0.281 0.581
0.618 0.760 0.537
0.700 0.219 0.081
0.200 0.719 0.419
0.118 0.240 0.463
0.083 0.442 0.158
0.608 0.981 0.855
0.583 0.942 0.342
0.083 0.058 0.658
0.108 0.019 0.145
```

- space group = Pna2_1, No. 33
- V (Å³ per atom) = 12.809
- calculated total energy (eV per atom) = -7.13